# Al3SnO, optimized geometry, DFT GGA-PBE
data_Al3SnO
_chemical_formula_sum 'Al3 Sn1 O1'
_cell_length_a 5.262
_cell_length_b 5.262
_cell_length_c 5.262
_cell_angle_alpha 90.00
_cell_angle_beta 90.00
_cell_angle_gamma 90.00
_symmetry_space_group_name_H-M 'P m -3 m'
_symmetry_Int_Tables_number 221
_symmetry_space_group_name_Hall '-P 4 2 3'
loop_
_atom_site_label
_atom_site_fract_x
_atom_site_fract_y
_atom_site_fract_z
Al1 0.000 0.000 0.500
Sn1 0.000 0.000 0.000
O1 0.500 0.500 0.500
# M_tot = 0.0 μB per formula unit
# Density of states at the Fermi level = 0.737 states/eV per atom
# Energy above the most stable polymorph in this dataset = 7.38 eV per formula unit
# Formation energy (no corrections) = 1131.6 meV per atom